Computed, not measured: a relaxed KMnInF6 crystal at the PBE with a Hubbard U level of DFT.

CIF file:
```
data_KMnInF6
_space_group_name_H-M_alt 'P 1'
_space_group_IT_number 1
_cell_length_a 5.7623
_cell_length_b 5.7623
_cell_length_c 11.0709
_cell_angle_alpha 90.00
_cell_angle_beta 90.00
_cell_angle_gamma 120.00
loop_
_space_group_symop_operation_xyz
'x,y,z'
loop_
_atom_site_label
_atom_site_fract_x
_atom_site_fract_y
_atom_site_fract_z
_atom_site_occupancy
K1 0.0000 0.0000 0.0000 1
K2 0.0000 0.0000 0.5000 1
Mn1 0.3333 0.6667 0.2500 1
Mn2 0.6667 0.3333 0.7500 1
In1 0.3333 0.6667 0.7500 1
In2 0.6667 0.3333 0.2500 1
F1 0.0051 0.3779 0.6476 1
F2 0.0051 0.6272 0.8524 1
F3 0.3728 0.3779 0.8524 1
F4 0.3728 0.9949 0.6476 1
F5 0.3779 0.0051 0.1476 1
F6 0.3779 0.3728 0.3524 1
F7 0.6221 0.6272 0.6476 1
F8 0.6221 0.9949 0.8524 1
F9 0.6272 0.0051 0.3524 1
F10 0.6272 0.6221 0.1476 1
F11 0.9949 0.3728 0.1476 1
F12 0.9949 0.6221 0.3524 1
```

Calculated values
Magnetization, μB per formula unit: 5.00
D(E_F), states/eV/atom: 0.00
VASP energy, eV per atom: -5.187